# Ta3PPd

An optimized crystal structure of Ta3PPd (PBE, Alexandria).

```
data_Ta3PPd
_chemical_formula_sum 'Ta3 P1 Pd1'
_space_group_name_H-M_alt 'P m -3 m'
_space_group_IT_number 221
_space_group_name_Hall '-P 4 2 3'
_cell_length_a 4.560
_cell_length_b 4.560
_cell_length_c 4.560
_cell_angle_alpha 90.00
_cell_angle_beta 90.00
_cell_angle_gamma 90.00
loop_
_atom_site_label
_atom_site_type_symbol
_atom_site_fract_x
_atom_site_fract_y
_atom_site_fract_z
Ta1 Ta 0.000 0.000 0.500
P1 P 0.000 0.000 0.000
Pd1 Pd 0.500 0.500 0.500
```

Output
The crystal system is cubic. The formation energy comes out at 0.34 eV per atom. Its size of the total moment is 0.00 μB/f.u. For the relative energy among the computed polymorphs, the calculation gives 0 meV/atom.

# VZnOs2

An optimized crystal structure of VZnOs2 (PBE, Alexandria).

```
data_VZnOs2
_chemical_formula_sum 'V4 Zn4 Os8'
_space_group_name_H-M_alt 'I -4 2 d'
_space_group_IT_number 122
_space_group_name_Hall 'I -4 2bw'
_cell_length_a 7.044
_cell_length_b 7.044
_cell_length_c 5.128
_cell_angle_alpha 90.00
_cell_angle_beta 90.00
_cell_angle_gamma 90.00
loop_
_atom_site_label
_atom_site_type_symbol
_atom_site_fract_x
_atom_site_fract_y
_atom_site_fract_z
V1 V 0.000 0.000 0.000
Zn1 Zn 0.000 0.000 0.500
Os1 Os 0.203 0.250 0.125
```

Output
The crystal system is tetragonal. The formation energy comes out at 0.62 eV per atom. Its size of the total moment is 0.00 μB/f.u.

# Hg2SbAu

An optimized crystal structure of Hg2SbAu (PBE, Alexandria).

```
data_Hg2SbAu
_chemical_formula_sum 'Hg4 Sb2 Au2'
_space_group_name_H-M_alt 'I m m 2'
_space_group_IT_number 44
_space_group_name_Hall 'I 2 -2'
_cell_length_a 3.642
_cell_length_b 5.871
_cell_length_c 9.374
_cell_angle_alpha 90.00
_cell_angle_beta 90.00
_cell_angle_gamma 90.00
loop_
_atom_site_label
_atom_site_type_symbol
_atom_site_fract_x
_atom_site_fract_y
_atom_site_fract_z
Hg1 Hg 0.000 0.000 0.000
Hg2 Hg 0.000 0.500 0.237
Sb1 Sb 0.000 0.500 0.780
Au1 Au 0.000 0.000 0.500
```

Output
The crystal system is orthorhombic. Its size of the total moment is 0.00 μB/f.u. As for the formation energy (no corrections): 3.5 kcal/mol of atoms.

We obtain volume values of 95 64 100 Å³/f.u. for the records listed above, in that order.